ScGaGe | PBE | relaxed

## Properties
Total magnetic moment = 0.0000 μB per atom

abc: 4.044 14.610 3.764
angles: 90.00 90.00 90.00
Space group Cmcm (No. 63)
Inequivalent atoms, fractional coordinates:
Sc1 0.000 0.091 0.250 x4
Ga1 0.000 0.256 0.750 x4
Ge1 0.000 0.434 0.250 x4

ScGaGe2 | PBE | relaxed

## Properties
Total magnetic moment = 0.0000 μB per atom

abc: 7.295 7.295 5.878
angles: 90.00 90.00 90.00
Space group I-42d (No. 122)
Inequivalent atoms, fractional coordinates:
Sc1 0.000 0.000 0.000 x4
Ga1 0.000 0.000 0.500 x4
Ge1 0.220 0.250 0.625 x8

ScGa2Ge2 | PBE | relaxed

## Properties
Total magnetic moment = 0.0000 μB per atom

abc: 3.803 3.803 13.623
angles: 90.00 90.00 90.00
Space group I4/mmm (No. 139)
Inequivalent atoms, fractional coordinates:
Sc1 0.000 0.000 0.000 x2
Ga1 0.000 0.500 0.250 x4
Ge1 0.000 0.000 0.406 x4

ScGaGe3 | PBE | relaxed

## Properties
Total magnetic moment = 0.0000 μB per atom

abc: 5.132 5.132 5.132
angles: 90.00 90.00 90.00
Space group Pm-3m (No. 221)
Inequivalent atoms, fractional coordinates:
Sc1 0.000 0.000 0.000 x1
Ga1 0.500 0.500 0.500 x1
Ge1 0.000 0.000 0.500 x3

Sc2GaGe | PBE | relaxed

## Properties
Total magnetic moment = 0.0000 μB per atom

abc: 3.4091 3.4091 24.5101
angles: 90.00 90.00 120.00
Space group R-3m (No. 166, hexagonal axes)
Inequivalent atoms, fractional coordinates:
Sc1 0.0000 0.0000 0.2480 x6
Ga1 0.0000 0.0000 0.0000 x3
Ge1 0.0000 0.0000 0.5000 x3

Sc2GaGe | PBE | relaxed

## Properties
Total magnetic moment = 0.0001 μB per atom

abc: 4.394 4.394 3.907
angles: 90.00 90.00 90.00
Space group P4/mmm (No. 123)
Inequivalent atoms, fractional coordinates:
Sc1 0.000 0.500 0.000 x2
Ga1 0.000 0.000 0.500 x1
Ge1 0.500 0.500 0.500 x1

Sc4Ga2Ge | PBE | relaxed

## Properties
Total magnetic moment = 0.0000 μB per atom

abc: 5.005 5.005 13.460
angles: 90.00 90.00 90.00
Space group I4/mmm (No. 139)
Inequivalent atoms, fractional coordinates:
Sc1 0.000 0.000 0.192 x4
Sc2 0.000 0.500 0.000 x4
Ga1 0.000 0.000 0.391 x4
Ge1 0.000 0.000 0.000 x2

Sc3GaGe2 | PBE | relaxed

## Properties
Total magnetic moment = 0.0000 μB per atom

abc: 10.988 4.020 10.692
angles: 90.00 90.00 90.00
Space group Pnma (No. 62)
Inequivalent atoms, fractional coordinates:
Sc1 0.048 0.250 0.121 x4
Sc2 0.130 0.750 0.567 x4
Sc3 0.206 0.250 0.804 x4
Ga1 0.136 0.250 0.367 x4
Ge1 0.009 0.750 0.313 x4
Ge2 0.183 0.750 0.012 x4

Sc2GaGe | PBE | relaxed

## Properties
Total magnetic moment = 0.0000 μB per atom

abc: 5.469 3.822 7.924
angles: 90.00 107.98 90.00
Space group P2_1/m (No. 11)
Inequivalent atoms, fractional coordinates:
Sc1 0.202 0.250 0.428 x2
Sc2 0.290 0.750 0.067 x2
Ga1 0.381 0.750 0.706 x2
Ge1 0.126 0.250 0.793 x2

Sc7Ga2Ge2 | PBE | relaxed

## Properties
Total magnetic moment = 0.0000 μB per atom

abc: 7.385 10.016 6.689
angles: 90.00 90.00 90.00
Space group Cmmm (No. 65)
Inequivalent atoms, fractional coordinates:
Sc1 0.000 0.000 0.000 x2
Sc2 0.000 0.500 0.268 x4
Sc3 0.250 0.250 0.279 x8
Ga1 0.174 0.000 0.500 x4
Ge1 0.000 0.290 0.000 x4

Sc3GaGe | PBE | relaxed

## Properties
Total magnetic moment = 0.0000 μB per atom

abc: 4.987 4.987 4.987
angles: 90.00 90.00 90.00
Space group Pm-3m (No. 221)
Inequivalent atoms, fractional coordinates:
Sc1 0.000 0.000 0.500 x3
Ga1 0.000 0.000 0.000 x1
Ge1 0.500 0.500 0.500 x1

ScGa2Ge2 | PBE | relaxed

## Properties
Total magnetic moment = 0.0000 μB per atom

abc: 7.185 7.185 3.678
angles: 90.00 90.00 90.00
Space group P4/mbm (No. 127)
Inequivalent atoms, fractional coordinates:
Sc1 0.000 0.000 0.000 x2
Ga1 0.164 0.336 0.500 x4
Ge1 0.134 0.634 0.000 x4

Sc8Ga3Ge2 | PBE | relaxed

## Properties
Total magnetic moment = 0.0004 μB per atom

abc: 15.638 7.147 5.439
angles: 90.00 104.96 90.00
Space group C2/m (No. 12)
Inequivalent atoms, fractional coordinates:
Sc1 0.098 0.000 0.485 x4
Sc2 0.125 0.250 0.004 x8
Sc3 0.189 0.500 0.581 x4
Ga1 0.000 0.000 0.000 x2
Ga2 0.000 0.327 0.500 x4
Ge1 0.243 0.000 0.865 x4

Number 1: D(E_F) 1.30 states/eV/f.u., ΔH_f (0 K) -554 meV per atom, calculated total energy -5.212 eV per atom. Number 2: D(E_F) 0.18 states/eV/f.u., ΔH_f (0 K) -210 meV per atom, calculated total energy -4.858 eV per atom. Number 3: D(E_F) 2.47 states/eV/f.u., ΔH_f (0 K) -128 meV per atom, calculated total energy -4.452 eV per atom. Number 4: D(E_F) 2.50 states/eV/f.u., ΔH_f (0 K) 459 meV per atom, calculated total energy -4.183 eV per atom. Number 5: D(E_F) 2.00 states/eV/f.u., ΔH_f (0 K) -498 meV per atom, calculated total energy -5.575 eV per atom. Number 6: D(E_F) 2.78 states/eV/f.u., ΔH_f (0 K) -609 meV per atom, calculated total energy -5.686 eV per atom. Number 7: D(E_F) 0.80 states/eV/f.u., ΔH_f (0 K) -258 meV per atom, calculated total energy -5.400 eV per atom. Number 8: D(E_F) 3.54 states/eV/f.u., ΔH_f (0 K) -684 meV per atom, calculated total energy -5.893 eV per atom. Number 9: D(E_F) 3.00 states/eV/f.u., ΔH_f (0 K) -750 meV per atom, calculated total energy -5.827 eV per atom. Number 10: D(E_F) 11.79 states/eV/f.u., ΔH_f (0 K) -371 meV per atom, calculated total energy -5.791 eV per atom. Number 11: D(E_F) 0.89 states/eV/f.u., ΔH_f (0 K) -24 meV per atom, calculated total energy -5.352 eV per atom. Number 12: D(E_F) 2.04 states/eV/f.u., ΔH_f (0 K) -159 meV per atom, calculated total energy -4.483 eV per atom. Number 13: D(E_F) 15.16 states/eV/f.u., ΔH_f (0 K) -369 meV per atom, calculated total energy -5.674 eV per atom.